No. 1
ScPaCu2 (GGA-PBE, optimized geometry); DFT formation energy = 0.0324 eV per atom; M_tot = 0.00 μB per formula unit; distance to the lowest polymorph of the same formula = 0.102 eV per atom; VASP energy = -5.973 eV/atom
1.0
0.0000 3.3645 3.3645
3.3645 0.0000 3.3645
3.3645 3.3645 0.0000
Sc Pa Cu
1 1 2
direct
0.0000 0.0000 0.0000 Sc
0.5000 0.5000 0.5000 Pa
0.2500 0.2500 0.2500 Cu
0.7500 0.7500 0.7500 Cu

=====

No. 2
Sc3PaCu8 (GGA-PBE, optimized geometry); DFT formation energy = -0.1715 eV per atom; M_tot = 0.00 μB per formula unit; VASP energy = -5.277 eV/atom
1.0
5.1008 0.0000 0.0000
-2.5504 4.4174 0.0000
0.0000 0.0000 8.2538
Sc Pa Cu
3 1 8
direct
0.0000 0.0000 0.0000 Sc
0.0000 0.0000 0.3825 Sc
0.3333 0.6667 0.9055 Sc
0.3333 0.6667 0.5081 Pa
0.3292 0.1646 0.6994 Cu
0.5004 0.0009 0.1943 Cu
0.5004 0.4996 0.1943 Cu
0.6667 0.3333 0.4473 Cu
0.6667 0.3333 0.9418 Cu
0.8354 0.1646 0.6994 Cu
0.8354 0.6708 0.6994 Cu
0.9991 0.4996 0.1943 Cu

=====

No. 3
ScPaCu3 (GGA-PBE, optimized geometry); DFT formation energy = -0.1203 eV per atom; M_tot = 0.43 μB per formula unit; VASP energy = -5.744 eV/atom
1.0
1.5678 -12.7535 0.0000
1.5678 12.7535 0.0000
0.0000 0.0000 4.3792
Sc Pa Cu
2 2 6
direct
0.2094 0.7906 0.7500 Sc
0.7906 0.2094 0.2500 Sc
0.0762 0.9238 0.2500 Pa
0.9238 0.0762 0.7500 Pa
0.3223 0.6777 0.7500 Cu
0.3773 0.6227 0.2500 Cu
0.4758 0.5242 0.2500 Cu
0.5242 0.4758 0.7500 Cu
0.6227 0.3773 0.7500 Cu
0.6777 0.3223 0.2500 Cu

=====

Please write out number 3 again, unchanged.
ScPaCu3 (GGA-PBE, optimized geometry); DFT formation energy = -0.1203 eV per atom; M_tot = 0.43 μB per formula unit; VASP energy = -5.744 eV/atom
1.0
1.5678 -12.7535 0.0000
1.5678 12.7535 0.0000
0.0000 0.0000 4.3792
Sc Pa Cu
2 2 6
direct
0.2094 0.7906 0.7500 Sc
0.7906 0.2094 0.2500 Sc
0.0762 0.9238 0.2500 Pa
0.9238 0.0762 0.7500 Pa
0.3223 0.6777 0.7500 Cu
0.3773 0.6227 0.2500 Cu
0.4758 0.5242 0.2500 Cu
0.5242 0.4758 0.7500 Cu
0.6227 0.3773 0.7500 Cu
0.6777 0.3223 0.2500 Cu

=====

Look up the DFT formation energy of the second one. -0.1715 eV per atom

=====

Number 2 is which compound? Sc3PaCu8